Entry 1:
SmHoEr2Tl2 (PBE-GGA, optimized geometry); calculated formation energy = -1.6 eV/f.u.; calculated total energy = -49.482 eV for the cell shown; calculated density = 10.16 g cm⁻³
1.0
-3.816 -3.374 0.324
4.512 -5.022 0.842
-0.348 1.341 9.868
Sm Ho Er Tl
2 2 4 4
Direct
0.000 0.961 0.458 Sm
0.000 0.461 0.542 Sm
0.500 0.181 0.691 Ho
0.500 0.681 0.309 Ho
0.500 0.051 0.043 Er
0.000 0.336 0.183 Er
0.500 0.551 0.957 Er
0.000 0.836 0.817 Er
0.000 0.298 0.868 Tl
0.500 0.219 0.362 Tl
0.000 0.798 0.132 Tl
0.500 0.719 0.638 Tl

***

Entry 2:
PrY3Th4As8 (PBE-GGA, optimized geometry); calculated formation energy = -23.6 eV/f.u.; calculated total energy = -114.607 eV for the cell shown; calculated density = 7.59 g cm⁻³
1.0
-1.365 -7.289 -4.050
-3.151 -3.327 7.049
-3.167 7.202 -3.080
Pr Y Th As
1 3 4 8
Direct
0.000 0.500 0.000 Pr
0.500 0.500 0.000 Y
0.500 0.500 0.500 Y
0.000 0.500 0.500 Y
0.500 0.000 0.000 Th
0.500 0.000 0.500 Th
0.000 0.000 0.000 Th
0.000 0.000 0.500 Th
0.251 0.747 0.996 As
0.251 0.747 0.503 As
0.252 0.256 0.504 As
0.744 0.747 0.996 As
0.256 0.253 0.004 As
0.748 0.744 0.496 As
0.749 0.253 0.497 As
0.749 0.253 0.004 As